(1)
Material: KNaS3
Method: DFT, PBE
State: relaxed

a = 5.726 Å, b = 5.726 Å, c = 5.726 Å
α = 90.00°, β = 90.00°, γ = 90.00°
Atoms (fractional coordinates):
Na  0.500  0.500  0.500
K  0.000  0.000  0.000
S  0.000  0.500  0.000
S  0.000  0.000  0.500
S  0.500  0.000  0.000

Output
N(E_F)	7.568	states/eV/cell
total DFT energy (no corrections)	-2.417	eV per atom
ΔE to the lowest computed polymorph	382	meV per atom
formation energy (no corrections)	543	meV per atom

(2)
Material: KNaS
Method: DFT, PBE
State: relaxed

a = 3.977 Å, b = 3.977 Å, c = 5.765 Å
α = 110.18°, β = 110.18°, γ = 90.00°
Atoms (fractional coordinates):
Na  0.332  0.332  0.665
K  0.602  0.602  0.204
S  0.916  0.916  0.832

Output
total DFT energy (no corrections)	-3.002	eV per atom
formation energy (no corrections)	-821	meV per atom

(3)
Material: KNaSbS3
Method: DFT, PBE
State: relaxed

a = 4.562 Å, b = 7.451 Å, c = 11.317 Å
α = 90.00°, β = 90.00°, γ = 107.83°
Atoms (fractional coordinates):
K  0.755  0.511  0.750
K  0.245  0.489  0.250
Na  0.000  0.000  0.500
Na  0.000  0.000  0.000
Sb  0.477  0.954  0.750
Sb  0.523  0.046  0.250
S  0.625  0.250  0.415
S  0.375  0.750  0.585
S  0.375  0.750  0.915
S  0.625  0.250  0.085
S  0.061  0.122  0.750
S  0.939  0.878  0.250

Output
N(E_F)	2.595	states/eV/cell
total DFT energy (no corrections)	-3.890	eV per atom
formation energy (no corrections)	-736	meV per atom

(4)
Material: KNa2SbS4
Method: DFT, PBE
State: relaxed

a = 8.408 Å, b = 8.408 Å, c = 8.162 Å
α = 119.04°, β = 119.04°, γ = 94.79°
Atoms (fractional coordinates):
K  0.000  0.500  0.000
K  0.000  0.500  0.500
Na  0.500  0.000  0.000
Na  0.500  0.000  0.500
Na  0.000  0.000  0.500
Na  0.500  0.500  0.000
Sb  0.500  0.500  0.500
Sb  0.000  0.000  0.000
S  0.211  0.820  0.016
S  0.680  0.289  0.484
S  0.320  0.711  0.516
S  0.789  0.180  0.984
S  0.748  0.752  0.978
S  0.748  0.752  0.522
S  0.252  0.248  0.478
S  0.252  0.248  0.022

Output
N(E_F)	3.655	states/eV/cell
total DFT energy (no corrections)	-3.683	eV per atom
formation energy (no corrections)	-637	meV per atom

(5)
Material: K2NaSbS4
Method: DFT, PBE
State: relaxed

a = 7.214 Å, b = 6.636 Å, c = 6.636 Å
α = 72.82°, β = 57.07°, γ = 57.07°
Atoms (fractional coordinates):
K  0.000  0.500  0.500
K  0.500  0.500  0.500
Na  0.000  0.000  0.000
Sb  0.500  0.000  0.000
S  0.132  0.340  0.000
S  0.868  0.000  0.660
S  0.528  0.000  0.340
S  0.472  0.660  0.000

Output
N(E_F)	0.000	states/eV/cell
total DFT energy (no corrections)	-3.870	eV per atom
formation energy (no corrections)	-852	meV per atom

(6)
Material: KNaSiS3
Method: DFT, PBE
State: relaxed

a = 6.204 Å, b = 6.204 Å, c = 9.259 Å
α = 94.44°, β = 94.44°, γ = 92.29°
Atoms (fractional coordinates):
K  0.803  0.803  0.877
K  0.197  0.197  0.123
Na  0.274  0.726  0.500
Na  0.726  0.274  0.500
Si  0.164  0.164  0.705
Si  0.836  0.836  0.295
S  0.251  0.251  0.507
S  0.303  0.913  0.801
S  0.913  0.303  0.801
S  0.087  0.697  0.199
S  0.697  0.087  0.199
S  0.749  0.749  0.493

Output
N(E_F)	0.000	states/eV/cell
total DFT energy (no corrections)	-4.345	eV per atom
formation energy (no corrections)	-975	meV per atom

(7)
Material: K2NaSnS4
Method: DFT, PBE
State: relaxed

a = 7.300 Å, b = 6.589 Å, c = 6.589 Å
α = 72.13°, β = 56.36°, γ = 56.36°
Atoms (fractional coordinates):
K  0.000  0.500  0.500
K  0.500  0.500  0.500
Na  0.000  0.000  0.000
Sn  0.500  0.000  0.000
S  0.120  0.346  0.000
S  0.880  0.000  0.654
S  0.535  0.000  0.346
S  0.465  0.654  0.000

Output
N(E_F)	8.891	states/eV/cell
total DFT energy (no corrections)	-3.785	eV per atom
formation energy (no corrections)	-782	meV per atom

(8)
Material: K2NaSn2S4
Method: DFT, PBE
State: relaxed

a = 3.825 Å, b = 8.926 Å, c = 8.302 Å
α = 117.96°, β = 90.00°, γ = 102.37°
Atoms (fractional coordinates):
K  0.891  0.781  0.474
K  0.109  0.219  0.526
Na  0.000  0.000  0.000
Sn  0.312  0.623  0.959
Sn  0.688  0.377  0.041
S  0.809  0.618  0.747
S  0.191  0.382  0.253
S  0.456  0.912  0.220
S  0.544  0.088  0.780

Output
N(E_F)	1.677	states/eV/cell
total DFT energy (no corrections)	-3.941	eV per atom
formation energy (no corrections)	-827	meV per atom

(9)
Material: KNaSr2S
Method: DFT, PBE
State: relaxed

a = 5.873 Å, b = 5.873 Å, c = 6.424 Å
α = 90.00°, β = 90.00°, γ = 90.00°
Atoms (fractional coordinates):
Sr  0.000  0.500  0.000
Sr  0.500  0.000  0.000
K  0.000  0.000  0.500
S  0.000  0.000  0.000
Na  0.500  0.500  0.500

Output
N(E_F)	3.104	states/eV/cell
total DFT energy (no corrections)	-2.672	eV per atom
formation energy (no corrections)	-691	meV per atom

(10)
Material: K2NaTaS4
Method: DFT, PBE
State: relaxed

a = 8.235 Å, b = 8.235 Å, c = 8.772 Å
α = 122.17°, β = 122.17°, γ = 90.61°
Atoms (fractional coordinates):
K  0.500  0.000  0.000
K  0.500  0.000  0.500
K  0.000  0.000  0.500
K  0.500  0.500  0.000
Na  0.000  0.500  0.000
Na  0.000  0.500  0.500
Ta  0.500  0.500  0.500
Ta  0.000  0.000  0.000
S  0.191  0.779  0.985
S  0.721  0.309  0.515
S  0.279  0.691  0.485
S  0.809  0.221  0.015
S  0.752  0.748  0.945
S  0.752  0.748  0.555
S  0.248  0.252  0.445
S  0.248  0.252  0.055

Output
N(E_F)	2.695	states/eV/cell
total DFT energy (no corrections)	-5.056	eV per atom
formation energy (no corrections)	-1071	meV per atom

(11)
Material: KNaTcS2
Method: DFT, PBE
State: relaxed

a = 4.684 Å, b = 5.790 Å, c = 4.684 Å
α = 90.00°, β = 90.00°, γ = 90.00°
Atoms (fractional coordinates):
S  0.000  0.000  0.500
S  0.500  0.000  0.000
Na  0.500  0.500  0.500
K  0.000  0.500  0.000
Tc  0.000  0.000  0.000

Output
N(E_F)	2.788	states/eV/cell
total DFT energy (no corrections)	-4.198	eV per atom
formation energy (no corrections)	9	meV per atom

(12)
Material: KNa2TeS4
Method: DFT, PBE
State: relaxed

a = 8.345 Å, b = 8.345 Å, c = 8.839 Å
α = 121.98°, β = 121.98°, γ = 91.28°
Atoms (fractional coordinates):
K  0.000  0.500  0.000
K  0.000  0.500  0.500
Na  0.500  0.000  0.000
Na  0.500  0.000  0.500
Na  0.000  0.000  0.500
Na  0.500  0.500  0.000
Te  0.500  0.500  0.500
Te  0.000  0.000  0.000
S  0.267  0.812  0.039
S  0.688  0.233  0.461
S  0.312  0.767  0.539
S  0.733  0.188  0.961
S  0.747  0.753  0.968
S  0.747  0.753  0.532
S  0.253  0.247  0.468
S  0.253  0.247  0.032

Output
N(E_F)	4.648	states/eV/cell
total DFT energy (no corrections)	-3.449	eV per atom
formation energy (no corrections)	-526	meV per atom

(13)
Material: K2NaTeS
Method: DFT, PBE
State: relaxed

a = 6.078 Å, b = 6.078 Å, c = 5.197 Å
α = 90.00°, β = 90.00°, γ = 90.00°
Atoms (fractional coordinates):
Na  0.000  0.000  0.500
K  0.000  0.500  0.000
K  0.500  0.000  0.000
Te  0.500  0.500  0.500
S  0.000  0.000  0.000

Output
N(E_F)	7.261	states/eV/cell
total DFT energy (no corrections)	-2.911	eV per atom
formation energy (no corrections)	-754	meV per atom

(14)
Material: K3NaTh2S6
Method: DFT, PBE
State: relaxed

a = 7.316 Å, b = 7.316 Å, c = 7.750 Å
α = 99.05°, β = 99.05°, γ = 119.99°
Atoms (fractional coordinates):
K  0.159  0.841  0.500
K  0.841  0.159  0.500
K  0.500  0.500  0.500
Na  0.000  0.000  0.000
Th  0.333  0.667  0.000
Th  0.667  0.333  0.000
S  0.930  0.573  0.792
S  0.712  0.712  0.206
S  0.070  0.427  0.208
S  0.573  0.930  0.792
S  0.288  0.288  0.794
S  0.427  0.070  0.208

Output
N(E_F)	0.000	states/eV/cell
total DFT energy (no corrections)	-5.396	eV per atom
formation energy (no corrections)	-1711	meV per atom

(15)
Material: K4NaTh3S8
Method: DFT, PBE
State: relaxed

a = 8.393 Å, b = 8.802 Å, c = 8.394 Å
α = 118.47°, β = 119.99°, γ = 90.00°
Atoms (fractional coordinates):
K  0.500  0.000  0.000
K  0.500  0.000  0.500
K  0.000  0.000  0.000
K  0.000  0.000  0.500
Na  0.000  0.500  0.000
Th  0.500  0.500  0.000
Th  0.500  0.500  0.500
Th  0.000  0.500  0.500
S  0.244  0.706  0.962
S  0.244  0.706  0.488
S  0.264  0.292  0.528
S  0.718  0.706  0.962
S  0.282  0.294  0.038
S  0.736  0.708  0.472
S  0.756  0.294  0.512
S  0.756  0.294  0.038

Output
N(E_F)	6.330	states/eV/cell
total DFT energy (no corrections)	-5.488	eV per atom
formation energy (no corrections)	-1676	meV per atom

(16)
Material: KNaTl2S4
Method: DFT, PBE
State: relaxed

a = 7.059 Å, b = 6.883 Å, c = 6.883 Å
α = 71.14°, β = 59.15°, γ = 59.15°
Atoms (fractional coordinates):
K  0.000  0.000  0.000
Na  0.500  0.500  0.500
Tl  0.210  0.290  0.290
Tl  0.790  0.710  0.710
S  0.462  0.118  0.480
S  0.061  0.882  0.520
S  0.939  0.480  0.118
S  0.538  0.520  0.882

Output
total DFT energy (no corrections)	-3.380	eV per atom
formation energy (no corrections)	-423	meV per atom

(17)
Material: K2NaTl2S4
Method: DFT, PBE
State: relaxed

a = 4.555 Å, b = 8.254 Å, c = 7.408 Å
α = 104.92°, β = 90.00°, γ = 106.02°
Atoms (fractional coordinates):
K  0.881  0.762  0.459
K  0.119  0.238  0.541
Na  0.000  0.000  0.000
Tl  0.342  0.684  0.978
Tl  0.658  0.316  0.022
S  0.787  0.573  0.800
S  0.213  0.427  0.200
S  0.479  0.958  0.248
S  0.521  0.042  0.752

Output
N(E_F)	2.762	states/eV/cell
total DFT energy (no corrections)	-3.405	eV per atom
formation energy (no corrections)	-655	meV per atom

(18)
Material: KNaUS3
Method: DFT, PBE
State: relaxed

a = 4.074 Å, b = 9.912 Å, c = 7.678 Å
α = 92.68°, β = 90.00°, γ = 90.00°
Atoms (fractional coordinates):
K  0.250  0.333  0.425
K  0.750  0.667  0.575
Na  0.250  0.999  0.748
Na  0.750  0.001  0.252
U  0.250  0.679  0.081
U  0.750  0.321  0.919
S  0.750  0.817  0.938
S  0.250  0.183  0.062
S  0.250  0.827  0.365
S  0.750  0.173  0.635
S  0.750  0.515  0.195
S  0.250  0.485  0.805

Output
N(E_F)	12.399	states/eV/cell
total DFT energy (no corrections)	-5.705	eV per atom
formation energy (no corrections)	-1357	meV per atom

(19)
Material: KNa3U2S6
Method: DFT, PBE
State: relaxed

a = 4.050 Å, b = 8.433 Å, c = 9.043 Å
α = 101.63°, β = 102.94°, γ = 90.00°
Atoms (fractional coordinates):
K  0.500  0.000  0.000
Na  0.500  0.500  0.000
Na  0.842  0.167  0.685
Na  0.158  0.833  0.315
U  0.834  0.665  0.668
U  0.166  0.335  0.332
S  0.322  0.875  0.645
S  0.674  0.563  0.349
S  0.678  0.125  0.355
S  0.017  0.278  0.035
S  0.983  0.722  0.965
S  0.326  0.437  0.651

Output
N(E_F)	11.968	states/eV/cell
total DFT energy (no corrections)	-5.699	eV per atom
formation energy (no corrections)	-1332	meV per atom

(20)
Material: K4NaU3S12
Method: DFT, PBE
State: relaxed

a = 9.015 Å, b = 9.015 Å, c = 9.015 Å
α = 109.47°, β = 109.47°, γ = 109.47°
Atoms (fractional coordinates):
K  0.500  0.500  0.500
K  0.000  0.000  0.500
K  0.500  0.000  0.000
K  0.000  0.500  0.000
Na  0.000  0.000  0.000
U  0.500  0.000  0.500
U  0.500  0.500  0.000
U  0.000  0.500  0.500
S  0.250  0.500  0.750
S  0.733  0.000  0.733
S  0.267  0.000  0.267
S  0.750  0.500  0.250
S  0.733  0.733  0.000
S  0.267  0.267  0.000
S  0.750  0.250  0.500
S  0.250  0.750  0.500
S  0.500  0.250  0.750
S  0.000  0.733  0.733
S  0.500  0.750  0.250
S  0.000  0.267  0.267

Output
N(E_F)	9.760	states/eV/cell
total DFT energy (no corrections)	-5.634	eV per atom
formation energy (no corrections)	-1179	meV per atom

(21)
Material: K4NaU3S8
Method: DFT, PBE
State: relaxed

a = 8.200 Å, b = 8.732 Å, c = 8.199 Å
α = 118.01°, β = 120.00°, γ = 90.00°
Atoms (fractional coordinates):
K  0.500  0.000  0.000
K  0.500  0.000  0.500
K  0.000  0.000  0.000
K  0.000  0.000  0.500
Na  0.000  0.500  0.000
U  0.500  0.500  0.000
U  0.500  0.500  0.500
U  0.000  0.500  0.500
S  0.243  0.700  0.957
S  0.243  0.700  0.485
S  0.266  0.297  0.532
S  0.715  0.700  0.957
S  0.285  0.300  0.043
S  0.734  0.703  0.468
S  0.757  0.300  0.515
S  0.757  0.300  0.043

Output
N(E_F)	11.539	states/eV/cell
total DFT energy (no corrections)	-5.939	eV per atom
formation energy (no corrections)	-1402	meV per atom